Entry 1:
ReTeRu2, optimized geometry, DFT PBEsol; final energy = -8.6983 eV/atom; symmetry = R3m; E_form (uncorrected) = 0.60 eV per atom
1.0
2.9088 0.0000 0.0000
1.4544 2.5191 0.0000
1.4544 0.8397 8.5453
Re Te Ru
1 1 2
Direct
0.2540 0.2540 0.2379
0.4973 0.4973 0.5081
0.7496 0.7496 0.7513
0.9991 0.9991 0.0027

=====

Entry 2:
NaYB3, optimized geometry, DFT PBEsol; excess energy over the best structure of this formula in the dataset = 0.0 meV/atom; final energy = -4.0441 eV/atom; symmetry = Pm-3m; ΔE_f = 1.81 eV/atom
1.0
-0.6899 -1.0172 4.0186
3.1838 -2.7390 -0.1467
2.6547 3.0205 1.2203
B Y Na
3 1 1
Direct
0.0000 0.0000 0.5000
0.5000 0.0000 0.0000
0.0000 0.5000 0.0000
0.5000 0.5000 0.5000
0.0000 0.0000 0.0000

=====

Entry 3:
LaTlRu, optimized geometry, DFT PBEsol; final energy = -5.9865 eV/atom; symmetry = P-6m2; ΔE_f = 0.06 eV/atom
1.0
3.6626 0.0000 0.0000
0.0000 4.7176 0.0000
0.0000 -2.3588 4.0855
La Tl Ru
1 1 1
Direct
0.0001 0.0000 0.0000
0.5001 0.6667 0.3333
0.4997 0.3333 0.6667

=====

Entry 4:
Rb3LuCl6, optimized geometry, DFT PBEsol; final energy = -4.0701 eV/atom; symmetry = Fm-3m; E_form (uncorrected) = -2.07 eV per atom
1.0
7.8837 0.0000 0.0000
3.9418 6.8275 0.0000
3.9418 2.2758 6.4370
Cl Lu Rb
6 1 3
Direct
0.2280 0.7720 0.7720
0.2280 0.2280 0.7720
0.7720 0.2280 0.2280
0.2280 0.7720 0.2280
0.7720 0.2280 0.7720
0.7720 0.7720 0.2280
0.0000 0.0000 0.0000
0.7500 0.7500 0.7500
0.2500 0.2500 0.2500
0.5000 0.5000 0.5000

=====

Entry 5:
BaSc4Zn, optimized geometry, DFT PBEsol; final energy = -4.5964 eV/atom; symmetry = F-43m; ΔE_f = 0.43 eV/atom
1.0
6.0850 0.0000 0.0000
3.0425 5.2698 0.0000
3.0425 1.7566 4.9684
Sc Ba Zn
4 1 1
Direct
0.8687 0.3771 0.3771
0.3771 0.3771 0.8687
0.3771 0.3771 0.3771
0.3771 0.8687 0.3771
0.0000 0.0000 0.0000
0.7500 0.7500 0.7500

=====

Entry 6:
YTe2AsN, optimized geometry, DFT PBEsol; excess energy over the best structure of this formula in the dataset = 400.5 meV/atom; final energy = -5.0154 eV/atom; symmetry = P4/mmm; E_form (uncorrected) = 0.49 eV per atom
1.0
-3.5507 1.8002 -0.5441
-0.8776 -3.1855 -4.8133
-2.5878 -4.1347 3.2082
As Y Te N
1 1 2 1
Direct
0.5000 0.5000 0.5000
0.0000 0.0000 0.0000
0.0000 0.0000 0.5000
0.0000 0.5000 0.0000
0.5000 0.0000 0.0000

=====

Entry 7:
Mg2TlCd, optimized geometry, DFT PBEsol; final energy = -1.8970 eV/atom; symmetry = I4/mmm; ΔE_f = -0.08 eV/atom
1.0
-2.5288 0.2973 -3.8068
-3.0986 -2.8279 1.8375
0.7630 4.5649 2.6045
Cd Mg Tl
1 2 1
Direct
0.0000 0.0000 0.0000
0.7500 0.2500 0.5000
0.2500 0.7500 0.5000
0.5000 0.5000 0.0000

=====

Entry 8:
BeSiBr3, optimized geometry, DFT PBEsol; final energy = -3.0201 eV/atom; symmetry = Pm-3m; E_form (uncorrected) = 0.05 eV per atom
1.0
-4.2114 -1.3940 1.6052
0.1503 -3.7482 -2.8609
2.1207 -2.5027 3.3904
Br Si Be
3 1 1
Direct
0.0000 0.5000 0.0000
0.0000 0.0000 0.5000
0.5000 0.0000 0.0000
0.5000 0.5000 0.5000
0.0000 0.0000 0.0000

=====

Entry 9:
ScRu3, optimized geometry, DFT PBEsol; final energy = -9.2051 eV/atom; symmetry = R-3m; ΔE_f = 0.08 eV/atom
1.0
2.7420 0.0000 0.0000
-0.9140 4.9467 0.0000
-0.9140 -2.4734 4.2840
Ru Sc
3 1
Direct
0.0000 0.0000 0.5000
0.0000 0.5000 0.0000
0.5000 0.5000 0.5000
0.5000 0.0000 0.0000

=====

Entry 10:
InRhW3, optimized geometry, DFT PBEsol; final energy = -8.6222 eV/atom; symmetry = Pm-3m; ΔE_f = 1.89 eV/atom
1.0
4.6684 0.0000 0.0000
0.0000 4.6684 0.0000
0.0000 0.0000 4.6684
W In Rh
3 1 1
Direct
0.0000 0.0000 0.5000
0.0000 0.5000 0.0000
0.5000 0.0000 0.0000
0.5000 0.5000 0.5000
0.0000 0.0000 0.0000

=====

Entry 11:
LaZnIn2, optimized geometry, DFT PBEsol; final energy = -3.2670 eV/atom; symmetry = R3m; ΔE_f = -0.04 eV/atom
1.0
-3.1009 0.5542 -1.0957
-2.5814 -0.2666 2.0949
-0.9726 9.9836 2.7267
Zn In La
1 2 1
Direct
0.2556 0.2556 0.2332
0.9945 0.9945 0.0166
0.7451 0.7451 0.7646
0.5048 0.5048 0.4855

=====

Entry 12:
NiSnP2O8, optimized geometry, DFT PBEsol; final energy = -7.1137 eV/atom; symmetry = P2_1/m; E_form (uncorrected) = -1.78 eV per atom
1.0
-3.8644 0.8516 -2.7941
-3.4589 -2.1542 4.1272
-0.8569 8.9658 3.9615
O P Ni Sn
16 4 2 2
Direct
0.7701 0.5442 0.1620
0.7330 0.5416 0.6627
0.3086 0.7500 0.1114
0.2299 0.4558 0.8380
0.8123 0.7500 0.4392
0.2670 0.4584 0.3373
0.1941 0.7500 0.6127
0.6732 0.7500 0.9335
0.8059 0.2500 0.3873
0.6914 0.2500 0.8886
0.7701 0.9558 0.1620
0.1877 0.2500 0.5608
0.2670 0.0416 0.3373
0.2299 0.0442 0.8380
0.7330 0.9584 0.6627
0.3268 0.2500 0.0665
0.6203 0.7500 0.0838
0.3797 0.2500 0.9162
0.8863 0.7500 0.5919
0.1137 0.2500 0.4081
0.5688 0.2500 0.2256
0.4312 0.7500 0.7744
0.9423 0.2500 0.7273
0.0577 0.7500 0.2727

=====

Entry 13:
VCuHPbO5, optimized geometry, DFT PBEsol; final energy = -6.8067 eV/atom; symmetry = Pnma
1.0
6.0260 0.0000 0.0000
0.0000 7.6398 0.0000
0.0000 0.0000 9.1308
V O H Cu Pb
4 20 4 4 4
Direct
0.7500 0.8886 0.1970
0.7500 0.3886 0.3030
0.2500 0.6114 0.6970
0.2500 0.1114 0.8030
0.0034 0.1087 0.6987
0.7500 0.0620 0.0814
0.2500 0.6409 0.0606
0.2500 0.9380 0.9186
0.2500 0.2884 0.9140
0.4966 0.1087 0.6987
0.4966 0.6087 0.8013
0.2500 0.4380 0.5814
0.9966 0.3913 0.1987
0.2500 0.7884 0.5860
0.7500 0.3591 0.9394
0.5034 0.8913 0.3013
0.7500 0.5620 0.4186
0.2500 0.1409 0.4394
0.7500 0.8591 0.5606
0.7500 0.7116 0.0860
0.5034 0.3913 0.1987
0.0034 0.6087 0.8013
0.7500 0.2116 0.4140
0.9966 0.8913 0.3013
0.7500 0.2444 0.9964
0.2500 0.7556 0.0036
0.2500 0.2556 0.4964
0.7500 0.7444 0.5036
0.5000 0.0000 0.5000
0.0000 0.5000 0.0000
0.5000 0.5000 0.0000
0.0000 0.0000 0.5000
0.2500 0.1364 0.1706
0.7500 0.3636 0.6706
0.7500 0.8636 0.8294
0.2500 0.6364 0.3294

=====

Entry 14:
LaNiC2, optimized geometry, DFT PBEsol; final energy = -7.9901 eV/atom; symmetry = Amm2; ΔE_f = -0.29 eV/atom
1.0
-2.2898 -2.1543 -2.0814
3.4763 -1.3716 -0.4999
-0.5128 -2.4167 3.0655
Ni C La
1 2 1
Direct
0.6117 0.3883 0.5000
0.4523 0.8499 0.5000
0.1501 0.5477 0.5000
0.0010 0.9990 0.0000

=====

Entry 15:
Be2ReP, optimized geometry, DFT PBEsol; excess energy over the best structure of this formula in the dataset = 190.3 meV/atom; final energy = -6.7726 eV/atom; symmetry = Pmmm; ΔE_f = 0.01 eV/atom
1.0
-0.3817 1.9175 2.1787
-3.0384 0.8735 -1.3011
-1.9182 -3.1038 2.3956
Be P Re
2 1 1
Direct
0.5000 0.0000 0.7666
0.5000 0.0000 0.2334
0.5000 0.5000 0.5000
0.0000 0.5000 0.0000

=====

Entry 16:
CoCuW2, optimized geometry, DFT PBEsol; excess energy over the best structure of this formula in the dataset = 36.7 meV/atom; final energy = -9.7102 eV/atom; symmetry = P4mm; ΔE_f = 0.21 eV/atom
1.0
-2.2855 -1.1527 -0.8013
-0.0556 -1.4584 2.2504
-3.8476 5.3049 3.3429
W Cu Co
2 1 1
Direct
0.5000 0.5000 0.7150
0.0000 0.0000 0.0207
0.5000 0.5000 0.2733
0.0000 0.0000 0.4910

=====

Entry 17:
RbSi4Pt4, optimized geometry, DFT PBEsol; final energy = -6.4714 eV/atom; symmetry = I4; E_form (uncorrected) = -0.71 eV per atom
1.0
4.5769 0.0000 0.0000
2.2885 5.9682 0.0000
2.2885 0.0000 5.9682
Pt Si Rb
4 4 1
Direct
0.7025 0.1504 0.4874
0.3403 0.8496 0.5126
0.8529 0.4874 0.8496
0.1899 0.5126 0.1504
0.1334 0.2723 0.5039
0.9095 0.7277 0.4961
0.6372 0.4961 0.2723
0.4056 0.5039 0.7277
0.5286 0.0000 0.0000

=====

Entry 18:
FeTeN3, optimized geometry, DFT PBEsol; final energy = -5.8906 eV/atom; symmetry = Pm-3m; E_form (uncorrected) = 1.72 eV per atom
1.0
-2.1766 -0.7955 -3.1553
1.8446 -3.4289 -0.4080
-2.6807 -1.7135 2.2812
N Fe Te
3 1 1
Direct
0.5000 0.0000 0.0000
0.0000 0.5000 0.0000
0.0000 0.0000 0.5000
0.5000 0.5000 0.5000
0.0000 0.0000 0.0000

=====

Entry 19:
Mn3HS, optimized geometry, DFT PBEsol; final energy = -7.2546 eV/atom; symmetry = Pm-3m
1.0
3.5506 0.0000 0.0000
0.0000 3.5506 0.0000
0.0000 0.0000 3.5506
S H Mn
1 1 3
Direct
0.5000 0.5000 0.5000
0.0000 0.0000 0.0000
0.0000 0.0000 0.5000
0.0000 0.5000 0.0000
0.5000 0.0000 0.0000

=====

Entry 20:
HgP2Ru, optimized geometry, DFT PBEsol; final energy = -5.1121 eV/atom; symmetry = I4/mmm; ΔE_f = 0.47 eV/atom
1.0
-0.0067 -0.6238 -4.1156
-1.2583 -3.5247 2.6414
-4.0615 -0.9008 0.1432
Hg P Ru
1 2 1
Direct
0.0000 0.0000 0.0000
0.2500 0.5000 0.2500
0.7500 0.5000 0.7500
0.5000 0.0000 0.5000

=====

Entry 21:
ScAsP2, optimized geometry, DFT PBEsol; final energy = -6.2035 eV/atom; symmetry = Pmmm; ΔE_f = -0.38 eV/atom
1.0
-1.7841 -0.3783 3.0866
-0.2565 -3.5946 -0.5888
4.5223 -0.7361 2.5238
As P Sc
1 2 1
Direct
0.5000 0.0000 0.5000
0.0000 0.5000 0.5000
0.0000 0.0000 0.0000
0.5000 0.5000 0.0000

=====

Entry 22:
ScMoW2, optimized geometry, DFT PBEsol; excess energy over the best structure of this formula in the dataset = 4.8 meV/atom; final energy = -11.3506 eV/atom; symmetry = Pm; ΔE_f = 0.15 eV/atom
1.0
2.7475 0.0000 0.0026
0.0000 4.4929 0.0000
-0.8860 0.0000 5.2753
Sc W Mo
1 2 1
Direct
0.2593 0.5000 0.7481
0.7434 0.5000 0.2490
0.9799 0.0000 0.0047
0.5174 0.0000 0.4982

=====

Entry 23:
YIn2W, optimized geometry, DFT PBEsol; excess energy over the best structure of this formula in the dataset = 0.0 meV/atom; final energy = -6.3862 eV/atom; symmetry = Fm-3m; ΔE_f = 0.26 eV/atom
1.0
4.8807 0.0000 0.0000
2.4404 4.2268 0.0000
2.4404 1.4089 3.9851
W Y In
1 1 2
Direct
0.0000 0.0000 0.0000
0.5000 0.5000 0.5000
0.7500 0.7500 0.7500
0.2500 0.2500 0.2500

=====

Entry 24:
RuCl3, optimized geometry, DFT PBEsol; final energy = -4.5708 eV/atom; symmetry = P3_112; E_form (uncorrected) = -0.52 eV per atom
1.0
5.8764 0.0000 0.0000
-2.9382 5.0891 0.0000
0.0000 0.0000 17.4724
Cl Ru
18 6
Direct
0.1108 0.8745 0.0905
0.7785 0.5423 0.4239
0.7637 0.8745 0.2428
0.4314 0.8893 0.4239
0.4577 0.2362 0.7573
0.7638 0.2215 0.0906
0.4578 0.8893 0.9094
0.1107 0.5422 0.7573
0.4314 0.5422 0.5761
0.7785 0.2362 0.5761
0.1108 0.2363 0.9095
0.4578 0.5686 0.0906
0.7637 0.8892 0.7572
0.1255 0.2363 0.4238
0.7638 0.5423 0.9094
0.1255 0.8892 0.5762
0.4577 0.2215 0.2427
0.1107 0.5686 0.2427
0.7774 0.2226 0.8333
0.4441 0.5559 0.8333
0.1118 0.5559 0.5000
0.4452 0.2226 0.5000
0.7774 0.5548 0.1667
0.4441 0.8882 0.1667

=====

Entry 25:
ReAsSe, optimized geometry, DFT PBEsol; final energy = -6.9074 eV/atom; symmetry = P3m1; E_form (uncorrected) = 0.52 eV per atom
1.0
-1.8091 -1.2873 1.8348
3.4766 -1.8479 2.1313
-1.5438 4.0011 1.2851
As Se Re
1 1 1
Direct
0.8218 0.0000 0.0000
0.5301 0.3333 0.6667
0.6481 0.6667 0.3333